First-principles (PBE-GGA) data for a geometry-optimized ZrHg3 structure, as listed in OQMD.

The structure belongs to space group Pm-3m (No. 221); the cell edges are 4.414, 4.414 and 4.414 Å and the angles 90.00°, 90.00° and 90.00°. The asymmetric unit holds Zr at (0.000, 0.000, 0.000) and Hg at (0.000, 0.500, 0.500).

The value obtained for the calculated density is 13.38 Mg/m³. For the calculated formation energy, the calculation gives -0.059 eV per atom. The value obtained for the raw total energy is -9.68 eV/cell.